First-principles (PBE) data for an optimized crystal structure of NbRuNF2, as listed in Alexandria via LeMat-Bulk.

Cell and atoms, written as extended XYZ:
```
5
Lattice="-1.2806 1.3364 3.7161 0.6758 -3.7748 1.5904 3.8282 1.0779 0.9316" Properties=species:S:1:pos:R:3 pbc="T T T"
F 0.3379 -1.8874 0.7952
F -0.6403 0.6682 1.8580
Nb 0.0000 0.0000 0.0000
N 1.9141 0.5389 0.4658
Ru 1.6117 -0.6803 3.1190
```

Summary:
The value obtained for the distance to the lowest polymorph of the same formula is 0.0 meV/atom. As for the volume: 70.40 Å³/f.u. As for the formation energy (no corrections): -0.412 eV per atom. For the total magnetic moment, the calculation gives 2.21 μB per formula unit. As for the uncorrected energy: -6.69 eV/atom.

First-principles (PBE) data for an optimized crystal structure of YTaPO2, as listed in Alexandria via LeMat-Bulk.

Cell and atoms, written as extended XYZ:
```
5
Lattice="3.9813 0.0000 0.0000 0.0000 3.9813 0.0000 0.0000 0.0000 5.1088" Properties=species:S:1:pos:R:3 pbc="T T T"
O 1.9906 0.0000 0.0000
O 0.0000 1.9906 0.0000
Ta 0.0000 0.0000 0.0000
Y 1.9906 1.9906 2.5544
P 0.0000 0.0000 2.5544
```

Summary:
The value obtained for the distance to the lowest polymorph of the same formula is 0.0 meV/atom. As for the volume: 80.98 Å³/f.u. As for the formation energy (no corrections): -2.004 eV per atom. For the total magnetic moment, the calculation gives 0.00 μB per formula unit. As for the uncorrected energy: -8.73 eV/atom.

First-principles (PBE) data for an optimized crystal structure of Pu7Ga2Ru2, as listed in Alexandria via LeMat-Bulk.

Cell and atoms, written as extended XYZ:
```
11
Lattice="-3.3702 -3.9656 -1.6717 1.5978 -6.0979 2.8861 -5.3161 -0.8473 4.3691" Properties=species:S:1:pos:R:3 pbc="T T T"
Pu -2.3469 -7.2993 5.1735
Pu 0.0000 0.0000 0.0000
Pu -4.3728 -6.4715 2.5264
Pu -4.9188 -5.3461 5.7252
Pu -2.7157 -4.4394 3.0570
Pu -2.1697 -5.5647 -0.1417
Pu -4.7416 -3.6115 0.4099
Ru -1.7885 -2.6976 1.2132
Ru -5.3001 -8.2132 4.3703
Ga -1.2809 -7.1743 2.3062
Ga -5.8076 -3.7366 3.2772
```

Summary:
As for the volume: 226.53 Å³/f.u. For the total magnetic moment, the calculation gives 25.92 μB per formula unit. For the formation energy, the calculation gives -2.7 kcal/mol of atoms. As for the uncorrected energy: -11.47 eV/atom.

Number 1 is which compound?
NbRuNF2

Copy entry 2 word for word.
First-principles (PBE) data for an optimized crystal structure of YTaPO2, as listed in Alexandria via LeMat-Bulk.

Cell and atoms, written as extended XYZ:
```
5
Lattice="3.9813 0.0000 0.0000 0.0000 3.9813 0.0000 0.0000 0.0000 5.1088" Properties=species:S:1:pos:R:3 pbc="T T T"
O 1.9906 0.0000 0.0000
O 0.0000 1.9906 0.0000
Ta 0.0000 0.0000 0.0000
Y 1.9906 1.9906 2.5544
P 0.0000 0.0000 2.5544
```

Summary:
The value obtained for the distance to the lowest polymorph of the same formula is 0.0 meV/atom. As for the volume: 80.98 Å³/f.u. As for the formation energy (no corrections): -2.004 eV per atom. For the total magnetic moment, the calculation gives 0.00 μB per formula unit. As for the uncorrected energy: -8.73 eV/atom.